## PrScGaPd (PBE)

Data for crystalline PrScGaPd at its relaxed geometry.

Output
energy: -5.4337 eV per atom
formation enthalpy at 0 K: -0.601 eV per atom
D(E_F): 0.697 states/eV per atom
space group: F-43m, No. 216
total magnetization: 0.00 μB/cell

Structure (CIF):
```
data_PrScGaPd
_chemical_formula_sum 'Pr1 Sc1 Ga1 Pd1'
_cell_length_a 5.000
_cell_length_b 5.000
_cell_length_c 5.000
_cell_angle_alpha 60.00
_cell_angle_beta 60.00
_cell_angle_gamma 60.00
_space_group_name_H-M_alt 'P 1'
_space_group_IT_number 1
loop_
_space_group_symop_operation_xyz
'x,y,z'
loop_
_atom_site_label
_atom_site_type_symbol
_atom_site_fract_x
_atom_site_fract_y
_atom_site_fract_z
Pr1 Pr 0.000 0.000 0.000
Sc1 Sc 0.500 0.500 0.500
Ga1 Ga 0.250 0.250 0.250
Pd1 Pd 0.750 0.750 0.750
```

=====

## Cs3Cr2Cl7 (PBE)

Data for crystalline Cs3Cr2Cl7 at its relaxed geometry.

Output
energy: -4.3849 eV per atom
excess energy over the best structure of this formula in the dataset: 16 kJ/mol of formula units
energy relative to the elements, uncorrected: -1726 kJ/mol of formula units
D(E_F): 0.151 states/eV per atom
space group: Cmmm, No. 65
total magnetization: 8.00 μB/cell

Structure (CIF):
```
data_Cs3Cr2Cl7
_chemical_formula_sum 'Cs3 Cr2 Cl7'
_cell_length_a 13.765
_cell_length_b 13.765
_cell_length_c 5.067
_cell_angle_alpha 90.00
_cell_angle_beta 90.00
_cell_angle_gamma 158.40
_space_group_name_H-M_alt 'P 1'
_space_group_IT_number 1
loop_
_space_group_symop_operation_xyz
'x,y,z'
loop_
_atom_site_label
_atom_site_type_symbol
_atom_site_fract_x
_atom_site_fract_y
_atom_site_fract_z
Cs1 Cs 0.000 0.000 0.000
Cs2 Cs 0.182 0.818 0.000
Cs3 Cs 0.818 0.182 0.000
Cr1 Cr 0.406 0.594 0.500
Cr2 Cr 0.594 0.406 0.500
Cl1 Cl 0.093 0.907 0.500
Cl2 Cl 0.315 0.685 0.500
Cl3 Cl 0.407 0.593 0.000
Cl4 Cl 0.500 0.500 0.500
Cl5 Cl 0.593 0.407 0.000
Cl6 Cl 0.685 0.315 0.500
Cl7 Cl 0.907 0.093 0.500
```